First-principles (PBE-GGA) data for a geometry-optimized ScTiCuGe structure, as listed in the Alexandria database.

- DOS(E_F): 0.852 states/eV/atom
- V: 16.37 Å³ per atom
- DFT formation energy: -8.87 kcal/mol of atoms

The structure in CIF format:
```
data_ScTiCuGe
_cell_length_a 4.524
_cell_length_b 4.524
_cell_length_c 4.524
_cell_angle_alpha 60.00
_cell_angle_beta 60.00
_cell_angle_gamma 60.00
_space_group_name_H-M_alt 'P 1'
_space_group_IT_number 1
_space_group_name_Hall 'P 1'
loop_
_atom_site_label
_atom_site_fract_x
_atom_site_fract_y
_atom_site_fract_z
Sc1 0.500 0.500 0.500
Ge1 0.250 0.250 0.250
Cu1 0.750 0.750 0.750
Ti1 0.000 0.000 0.000
```